(1)
## Rb3YPt (PBE-GGA)

Data for a geometry-optimized Rb3YPt structure.

Output
The energy relative to the lowest polymorph listed for this composition comes out at 0 meV/atom. The calculated volume comes out at 270.94 Å³ per cell. The space-group type is No. 221. The density of states at the Fermi level comes out at 0.574 states/eV/atom.

Cell: 6.4708 6.4708 6.4708 Å, 90.00 90.00 90.00°
Positions (direct):
Rb (0.0000, 0.0000, 0.5000)
Y (0.5000, 0.5000, 0.5000)
Rb (0.5000, 0.0000, 0.0000)
Pt (0.0000, 0.0000, 0.0000)
Rb (0.0000, 0.5000, 0.0000)

***

(2)
## Rb3TlMo (PBE-GGA)

Data for a geometry-optimized Rb3TlMo structure.

Output
The energy relative to the lowest polymorph listed for this composition comes out at 0 meV/atom. The calculated volume comes out at 338.76 Å³ per cell. The space-group type is No. 221. The density of states at the Fermi level comes out at 0.972 states/eV/atom.

Cell: 6.9710 6.9710 6.9710 Å, 90.00 90.00 90.00°
Positions (direct):
Mo (0.5000, 0.5000, 0.5000)
Tl (0.0000, 0.0000, 0.0000)
Rb (0.0000, 0.0000, 0.5000)
Rb (0.0000, 0.5000, 0.0000)
Rb (0.5000, 0.0000, 0.0000)

***

(3)
## DyY2Ho4Tm2 (PBE-GGA)

Data for a geometry-optimized DyY2Ho4Tm2 structure.

Output
The calculated volume comes out at 280.56 Å³ per cell. The space-group type is No. 12. The density of states at the Fermi level comes out at 1.388 states/eV/atom.

Cell: 3.5629 9.4232 9.4513 Å, 115.29 90.00 100.90°
Positions (direct):
Y (0.8523, 0.7046, 0.3334)
Ho (0.4815, 0.9630, 0.6675)
Dy (0.0000, 0.0000, 0.0000)
Ho (0.1850, 0.3700, 0.3341)
Ho (0.8150, 0.6300, 0.6659)
Tm (0.3330, 0.6659, 0.9982)
Tm (0.6670, 0.3341, 0.0018)
Ho (0.5185, 0.0370, 0.3325)
Y (0.1477, 0.2954, 0.6666)

***

no.,electronic total energy (eV/atom)
1,-2.444
2,-2.049
3,-4.972